i.
## PrNd2Gd (PBE)

Data for a relaxed PrNd2Gd crystal.

Properties
* Fermi-level density of states: 6.7 states/eV per cell
* space group: No. 123

Unit cell a=3.674 b=3.674 c=10.336 alpha=90.00 beta=90.00 gamma=90.00
Fractional coordinates of all 4 atoms:
1 Pr 0.000 0.000 0.000
2 Nd 0.500 0.500 0.253
3 Nd 0.500 0.500 0.747
4 Gd 0.000 0.000 0.500


ii.
## PrNd2Gd (PBE)

Data for a relaxed PrNd2Gd crystal.

Properties
* Fermi-level density of states: 6.8 states/eV per cell
* space group: No. 123

Unit cell a=5.182 b=5.182 c=5.187 alpha=90.00 beta=90.00 gamma=90.00
Fractional coordinates of all 4 atoms:
1 Pr 0.000 0.000 0.000
2 Nd 0.000 0.500 0.500
3 Nd 0.500 0.000 0.500
4 Gd 0.500 0.500 0.000


iii.
## PrNd2Gd (PBE)

Data for a relaxed PrNd2Gd crystal.

Properties
* Fermi-level density of states: 7.1 states/eV per cell
* space group: No. 166

Unit cell a=12.869 b=12.869 c=12.869 alpha=16.02 beta=16.02 gamma=16.02
Fractional coordinates of all 4 atoms:
1 Pr 0.000 0.000 0.000
2 Nd 0.412 0.412 0.412
3 Nd 0.588 0.588 0.588
4 Gd 0.500 0.500 0.500


iv.
## PrNd2Gd (PBE)

Data for a relaxed PrNd2Gd crystal.

Properties
* Fermi-level density of states: 7.4 states/eV per cell
* space group: No. 225

Unit cell a=5.831 b=5.831 c=5.831 alpha=60.00 beta=60.00 gamma=60.00
Fractional coordinates of all 4 atoms:
1 Pr 0.000 0.000 0.000
2 Nd 0.250 0.250 0.250
3 Nd 0.750 0.750 0.750
4 Gd 0.500 0.500 0.500


Most stable structure - ii; separation to the second - 8 meV per atom.


i.
## Pr2NdGd (PBE)

Data for a relaxed Pr2NdGd crystal.

Properties
* Fermi-level density of states: 7.1 states/eV per cell
* space group: No. 166

Unit cell a=12.903 b=12.903 c=12.903 alpha=16.01 beta=16.01 gamma=16.01
Fractional coordinates of all 4 atoms:
1 Pr 0.088 0.088 0.088
2 Pr 0.912 0.912 0.912
3 Nd 0.500 0.500 0.500
4 Gd 0.000 0.000 0.000


ii.
## Pr2NdGd (PBE)

Data for a relaxed Pr2NdGd crystal.

Properties
* Fermi-level density of states: 6.7 states/eV per cell
* space group: No. 123

Unit cell a=5.198 b=5.198 c=5.190 alpha=90.00 beta=90.00 gamma=90.00
Fractional coordinates of all 4 atoms:
1 Pr 0.000 0.500 0.000
2 Pr 0.500 0.000 0.000
3 Nd 0.000 0.000 0.500
4 Gd 0.500 0.500 0.500


Most stable structure - ii; separation to the second - 148 meV per atom.


i.
## Pr2NdGd (PBE)

Data for a relaxed Pr2NdGd crystal.

Properties
* Fermi-level density of states: 8.2 states/eV per cell
* space group: No. 225

Unit cell a=5.841 b=5.841 c=5.841 alpha=60.00 beta=60.00 gamma=60.00
Fractional coordinates of all 4 atoms:
1 Pr 0.250 0.250 0.250
2 Pr 0.750 0.750 0.750
3 Nd 0.000 0.000 0.000
4 Gd 0.500 0.500 0.500


ii.
## Pr2NdGd (PBE)

Data for a relaxed Pr2NdGd crystal.

Properties
* Fermi-level density of states: 6.7 states/eV per cell
* space group: No. 123

Unit cell a=3.684 b=3.684 c=10.360 alpha=90.00 beta=90.00 gamma=90.00
Fractional coordinates of all 4 atoms:
1 Pr 0.000 0.000 0.247
2 Pr 0.000 0.000 0.753
3 Nd 0.500 0.500 0.500
4 Gd 0.500 0.500 0.000


Most stable structure - ii; separation to the second - 98 meV per atom.


i.
## PrNdGd (PBE)

Data for a relaxed PrNdGd crystal.

Properties
* Fermi-level density of states: 4.7 states/eV per cell
* space group: No. 107

Unit cell a=8.106 b=8.106 c=8.106 alpha=153.75 beta=153.75 gamma=37.46
Fractional coordinates of all 3 atoms:
1 Pr 0.000 0.000 0.000
2 Nd 0.668 0.668 0.000
3 Gd 0.333 0.333 0.000


ii.
## PrNdGd (PBE)

Data for a relaxed PrNdGd crystal.

Properties
* Fermi-level density of states: 4.8 states/eV per cell
* space group: No. 187

Unit cell a=5.803 b=5.803 c=3.547 alpha=90.00 beta=90.00 gamma=120.00
Fractional coordinates of all 3 atoms:
1 Pr 0.000 0.000 0.000
2 Nd 0.333 0.667 0.500
3 Gd 0.667 0.333 0.500


Most stable structure - i; separation to the second - 38 meV per atom.